# 1
10
Lattice="-3.2199 -1.0291 -3.6723 6.7235 0.0885 -2.5280 -1.9648 -9.3250 4.3360" Properties=species:S:1:pos:R:3 comment="Sr2Cd2Pb, relaxed, DFT GGA-PBE" de_polymorph_mev_per_atom=20 final_energy_ev_per_cell=-21.5 delta_e_f_kj_per_mol_fu=-178 space_group="C2/m (12)" pbc="T T T"
Sr -0.0786 -0.9126 -3.0673
Sr 2.7778 -6.0003 -0.7541
Sr 1.6174 -9.3530 1.2030
Sr -1.2390 -4.2654 -1.1102
Cd 1.6467 -8.8739 -2.3489
Cd 1.8812 -4.1973 -3.8651
Cd -0.1078 -1.3918 0.4846
Cd -0.3424 -6.0683 2.0008
Pb 2.2419 -2.6947 -1.2106
Pb -0.7031 -7.5710 -0.6537

---

# 2
24
Lattice="-3.1878 3.1495 -5.7779 -1.0359 -6.5803 -3.0154 -4.2459 -0.3241 2.1659" Properties=species:S:1:pos:R:3 comment="Ho2Be2SiO7, relaxed, DFT GGA-PBE" e_form_raw_kj_per_mol_fu=-3687 final_energy_ev_per_cell=-189.9 space_group="P-42_1m (113)" pbc="T T T"
Ho -5.4520 -1.8427 -5.7827
Ho -4.1185 -4.6263 -3.4091
Ho -4.4220 0.8660 -3.1821
Ho -2.9466 -1.9068 -0.8808
Be -5.1681 -4.0708 -0.6347
Be -3.0985 -3.6865 -6.1938
Be -7.1992 0.0183 -4.0044
Be -1.4733 0.2291 -2.4219
Si -2.1118 -1.7154 -4.3966
Si 0.0000 0.0000 0.0000
O -4.3476 0.2499 -5.4100
O -4.2964 -0.0307 -0.9645
O -2.3543 -3.8699 -2.1191
O -5.9409 -3.8592 -4.7612
O -2.3745 1.5152 -2.4908
O -3.9832 -3.5547 0.2600
O -4.5228 -5.5099 -1.2712
O -1.4571 -0.0959 -0.7525
O -4.4736 -3.4652 -7.1701
O -6.4857 1.5612 -4.0610
O -3.3966 -2.5904 -4.9279
O -2.5340 -0.9707 -2.9946
O -5.0715 -3.0290 -1.9757
O -5.9370 -0.9197 -3.3566

---

# 3
12
Lattice="-0.7658 -2.7848 -1.8818 3.6510 -3.0883 3.0845 -8.5664 -2.6818 7.4547" Properties=species:S:1:pos:R:3 comment="TmZrC, relaxed, DFT GGA-PBE" de_polymorph_mev_per_atom=15 final_energy_ev_per_cell=-93.7 delta_e_f_kj_per_mol_fu=-115 space_group="Pnma (62)" pbc="T T T"
Tm -0.0251 -3.7273 3.9475
Tm -1.5287 -3.3549 0.8509
Tm -4.1525 -5.2000 7.8065
Tm -5.6560 -4.8276 4.7100
Zr 1.9367 -4.5768 1.2490
Zr -2.5205 -5.7704 4.8293
Zr -7.6179 -3.9780 7.4084
Zr -3.1606 -2.7844 3.8281
C -2.0890 -4.5890 2.9053
C -8.0434 -4.5162 5.2207
C 2.3622 -4.0386 3.4367
C -3.5922 -3.9659 5.7522

---

# 4
9
Lattice="-4.2268 3.0941 -0.6268 -4.7301 -2.1495 -0.9152 -3.7324 0.1533 3.7252" Properties=species:S:1:pos:R:3 comment="TbGa2H6, relaxed, DFT GGA-PBE" final_energy_ev_per_cell=-26.5 space_group="Fm-3m (225)" pbc="T T T"
Tb 0.0000 0.0000 0.0000
Ga -9.5170 0.8234 1.6374
Ga -3.1723 0.2745 0.5458
H -7.2769 -0.5714 1.8480
H -7.4945 0.7231 -0.0677
H -7.0554 1.7368 1.9750
H -5.4124 1.6693 0.3352
H -5.1948 0.3748 2.2509
H -5.6339 -0.6389 0.2082

---

# 5
6
Lattice="6.0803 1.6344 0.8791 4.4533 4.4507 0.8791 3.7602 2.1722 7.3627" Properties=species:S:1:pos:R:3 comment="YZrF, relaxed, DFT GGA-PBE" e_form_raw_kj_per_mol_fu=-373 final_energy_ev_per_cell=-41.5 space_group="Cm (8)" pbc="T T T"
Zr 12.5482 7.2490 7.1325
Zr 5.7879 3.3436 4.3331
Y 8.4520 4.8826 3.4635
Y 6.2486 3.6098 1.0785
F 3.7651 2.1751 4.2029
F 8.5204 4.9221 7.0348

---

# 6
10
Lattice="-3.2752 -0.9426 2.2260 2.3820 -1.8972 2.7013 1.9141 13.8018 4.9386" Properties=species:S:1:pos:R:3 comment="Tb4TmSe5, relaxed, DFT GGA-PBE" e_form_raw_kj_per_mol_fu=-1687 final_energy_ev_per_cell=-57.9 space_group="I4/mmm (139)" pbc="T T T"
Tb 1.1672 9.8480 5.8874
Tb 0.4474 6.1230 6.9730
Tb 0.5735 4.8390 2.8929
Tb -0.1463 1.1140 3.9785
Tm 0.0000 0.0000 0.0000
Se 0.2842 2.3979 1.4335
Se -0.4466 -1.4199 2.4637
Se 0.7367 8.5641 8.4324
Se 0.8727 7.3632 4.4019
Se 0.1482 3.5988 5.4640

---

# 7
10
Lattice="6.8234 0.0000 0.0000 0.0000 6.8234 0.0000 0.0000 0.0000 2.6623" Properties=species:S:1:pos:R:3 comment="Fe2Si2Ag, relaxed, DFT GGA-PBE" e_form_raw_kj_per_mol_fu=-80 de_polymorph_mev_per_atom=0 final_energy_ev_per_cell=-62.9 space_group="P4/mbm (127)" pbc="T T T"
Si 2.4462 5.8579 0.0000
Si 5.8579 4.3772 0.0000
Si 4.3772 0.9655 0.0000
Si 0.9655 2.4462 0.0000
Fe 1.0220 4.4337 1.3312
Fe 4.4337 5.8015 1.3312
Fe 5.8015 2.3897 1.3312
Fe 2.3897 1.0220 1.3312
Ag 0.0000 0.0000 0.0000
Ag 3.4117 3.4117 0.0000

---

# 8
5
Lattice="3.9700 0.0000 0.0000 0.0000 3.9700 0.0000 0.0000 0.0000 3.5762" Properties=species:S:1:pos:R:3 comment="MnFeHW2, relaxed, DFT GGA-PBE" final_energy_ev_per_cell=-45.9 space_group="P4/mmm (123)" pbc="T T T"
H 0.0000 0.0000 0.0000
Mn 1.9850 1.9850 1.7881
Fe 0.0000 0.0000 1.7881
W 0.0000 1.9850 0.0000
W 1.9850 0.0000 0.0000